(1)
An optimized crystal structure of Er4Se5I, computed with GGA-PBE.

Output
raw formation energy = -1.53 eV/atom
electronic total energy = -5.25 eV per atom
total magnetic moment = 1.00 μB per formula unit

a b c (Å): 8.4253 10.6515 6.9689
angles (deg): 90.00 90.00 90.00
Closest atoms and distances in Å follow each position.
Element x y z (fractional)
Er 0.0346 0.2500 0.0031  3 Se 2.72-2.81
Er 0.2500 0.0213 0.5021  5 Se 2.78-2.82
Er 0.2500 0.4787 0.5021  5 Se 2.78-2.82
Er 0.4654 0.2500 0.0031  3 Se 2.72-2.81
Er 0.5346 0.7500 0.9969  3 Se 2.72-2.81
Er 0.7500 0.5213 0.4979  5 Se 2.78-2.82
Er 0.7500 0.9787 0.4979  5 Se 2.78-2.82
Er 0.9654 0.7500 0.9969  3 Se 2.72-2.81
Se 0.0088 0.5580 0.2485  3 Er 2.72-2.82
Se 0.0088 0.9420 0.2485  3 Er 2.72-2.82
Se 0.2500 0.2500 0.3111  4 Er 2.78-2.81
Se 0.4912 0.5580 0.2485  3 Er 2.72-2.82
Se 0.4912 0.9420 0.2485  3 Er 2.72-2.82
Se 0.5088 0.0580 0.7515  3 Er 2.72-2.82
Se 0.5088 0.4420 0.7515  3 Er 2.72-2.82
Se 0.7500 0.7500 0.6889  4 Er 2.78-2.81
Se 0.9912 0.0580 0.7515  3 Er 2.72-2.82
Se 0.9912 0.4420 0.7515  3 Er 2.72-2.82
I 0.2500 0.7500 0.7062  4 Er 3.14-3.22
I 0.7500 0.2500 0.2938  4 Er 3.14-3.22

(2)
An optimized crystal structure of CsCePm2, computed with GGA-PBE.

Output
electronic total energy = -3.35 eV per atom
total magnetic moment = 0.00 μB per formula unit
formation energy = 724 meV per atom

a b c (Å): 4.3131 4.3131 31.9528
angles (deg): 90.00 90.00 120.00
Closest atoms and distances in Å follow each position.
Element x y z (fractional)
Cs 0.0000 0.0000 0.0000  2 Pm 3.81
Cs 0.3333 0.6667 0.6667  2 Pm 3.81
Cs 0.6667 0.3333 0.3333  2 Pm 3.81
Ce 0.0000 0.0000 0.5000  6 Pm 2.92
Ce 0.3333 0.6667 0.1667  6 Pm 2.92
Ce 0.6667 0.3333 0.8333  6 Pm 2.92
Pm 0.0000 0.0000 0.1192  3 Ce 2.92
Pm 0.0000 0.0000 0.8808  3 Ce 2.92
Pm 0.3333 0.6667 0.5475  3 Ce 2.92
Pm 0.3333 0.6667 0.7859  3 Ce 2.92
Pm 0.6667 0.3333 0.2141  3 Ce 2.92
Pm 0.6667 0.3333 0.4525  3 Ce 2.92

(3)
An optimized crystal structure of CaTl2Te2O6, computed with GGA-PBE.

Output
raw formation energy = -1.37 eV/atom
electronic total energy = -5.25 eV per atom
total magnetic moment = 0.00 μB per formula unit

a b c (Å): 6.0684 6.0684 7.9943
angles (deg): 101.74 101.74 62.72
Closest atoms and distances in Å follow each position.
Element x y z (fractional)
Ca 0.0000 0.0000 0.0000  6 O 2.38-2.40
Tl 0.2787 0.2787 0.7754  3 O 2.58-2.74
Tl 0.7213 0.7213 0.2246  3 O 2.58-2.74
Te 0.3937 0.3937 0.2628  3 O 1.88-1.89
Te 0.6063 0.6063 0.7372  3 O 1.88-1.89
O 0.2384 0.2384 0.0811  1 Te 1.89
O 0.2660 0.7165 0.1999  1 Te 1.88
O 0.2835 0.7340 0.8001  1 Te 1.88
O 0.7165 0.2660 0.1999  1 Te 1.88
O 0.7340 0.2835 0.8001  1 Te 1.88
O 0.7616 0.7616 0.9189  1 Te 1.89